(1)
Material: Rb2BaCaBr6
Method: DFT, PBE
State: optimized geometry

Properties
- formation energy (no corrections) (eV per formula unit) = -19.17
- energy above the most stable polymorph in this dataset (kJ/mol of atoms) = 5.2
- density (g/cm3) = 3.144
- space-group type = Fm-3m (225)

Lattice parameters (Å, degrees): 8.519 8.519 8.519 60.00 60.00 90.00
Atoms (fractional coordinates):
Ca1 0.500 0.500 0.000
Ba1 0.000 0.000 0.000
Br1 0.262 0.262 0.000
Br2 0.738 0.738 0.523
Br3 0.738 0.738 0.000
Br4 0.738 0.262 0.000
Br5 0.262 0.262 0.477
Br6 0.262 0.738 0.000
Rb1 0.750 0.250 0.500
Rb2 0.250 0.750 0.500

=====

(2)
Material: Rb2BaCaBr6
Method: DFT, PBE
State: optimized geometry

Properties
- formation energy (no corrections) (eV per formula unit) = -19.70
- energy above the most stable polymorph in this dataset (kJ/mol of atoms) = 0.0
- density (g/cm3) = 3.406
- space-group type = P2_1/c (14)

Lattice parameters (Å, degrees): 8.139 8.529 11.628 90.00 90.38 90.00
Atoms (fractional coordinates):
Ba1 0.500 0.000 0.000
Ba2 0.000 0.500 0.500
Br1 0.886 0.540 0.236
Br2 0.315 0.715 0.438
Br3 0.212 0.191 0.444
Br4 0.288 0.691 0.056
Br5 0.685 0.285 0.562
Br6 0.614 0.040 0.264
Br7 0.815 0.785 0.938
Br8 0.712 0.309 0.944
Br9 0.114 0.460 0.764
Br10 0.185 0.215 0.062
Br11 0.788 0.809 0.556
Br12 0.386 0.960 0.736
Rb1 0.025 0.930 0.250
Rb2 0.525 0.570 0.750
Rb3 0.975 0.070 0.750
Rb4 0.475 0.430 0.250
Ca1 0.000 0.500 0.000
Ca2 0.500 0.000 0.500

=====

(3)
Material: BaCa2RhBr
Method: DFT, PBE
State: optimized geometry

Properties
- formation energy (no corrections) (eV per formula unit) = -2.97
- density (g/cm3) = 3.558
- space-group type = P4/mmm (123)

Lattice parameters (Å, degrees): 5.481 5.481 6.218 90.00 90.00 90.00
Atoms (fractional coordinates):
Ca1 0.000 0.500 0.000
Ca2 0.500 0.000 0.000
Br1 0.500 0.500 0.500
Ba1 0.000 0.000 0.500
Rh1 0.000 0.000 0.000